A geometry-optimized Cr2SiPt structure. Source: Alexandria via LeMat-Bulk, functional GGA-PBE.

Structure (CIF):
```
data_Cr2SiPt
_chemical_formula_sum 'Cr8 Si4 Pt4'
_cell_length_a 5.947
_cell_length_b 5.947
_cell_length_c 5.947
_cell_angle_alpha 90.00
_cell_angle_beta 90.00
_cell_angle_gamma 90.00
_space_group_name_H-M_alt 'F -4 3 m'
_space_group_IT_number 216
_space_group_name_Hall 'F -4 2 3'
loop_
_atom_site_label
_atom_site_type_symbol
_atom_site_fract_x
_atom_site_fract_y
_atom_site_fract_z
_atom_site_occupancy
Cr1 Cr 0.000 0.000 0.000 1
Cr2 Cr 0.250 0.250 0.250 1
Si1 Si 0.250 0.250 0.750 1
Pt1 Pt 0.000 0.000 0.500 1
```

Summary:
The value obtained for the energy relative to the elements, uncorrected is -207 meV/atom. As for the density: 10.3 g/cm3.



A geometry-optimized CrSi2Pt structure. Source: Alexandria via LeMat-Bulk, functional GGA-PBE.

Structure (CIF):
```
data_CrSi2Pt
_chemical_formula_sum 'Cr4 Si8 Pt4'
_cell_length_a 6.149
_cell_length_b 6.149
_cell_length_c 6.149
_cell_angle_alpha 90.00
_cell_angle_beta 90.00
_cell_angle_gamma 90.00
_space_group_name_H-M_alt 'F -4 3 m'
_space_group_IT_number 216
_space_group_name_Hall 'F -4 2 3'
loop_
_atom_site_label
_atom_site_type_symbol
_atom_site_fract_x
_atom_site_fract_y
_atom_site_fract_z
_atom_site_occupancy
Cr1 Cr 0.000 0.000 0.000 1
Si1 Si 0.000 0.000 0.500 1
Si2 Si 0.250 0.250 0.250 1
Pt1 Pt 0.250 0.250 0.750 1
```

Summary:
The value obtained for the energy relative to the elements, uncorrected is 96 meV/atom. As for the density: 8.7 g/cm3.